The following is a PBE-GGA calculation of a relaxed Sm2Co3Ni crystal, from Alexandria via LeMat-Bulk.

Values from the calculation:
The total magnetic moment is 1.51 μB/f.u. The calculation puts the total energy at -6.24 eV per atom. Its density of states at the Fermi level is 14.45 states/eV/cell. The calculation puts the formation energy at -86 kJ/mol of formula units. As for the symmetry: Fmmm, No. 69.

Unit cell a=7.8975 b=7.8366 c=5.6340 alpha=69.60 beta=68.44 gamma=41.96
Sites, in units of the cell vectors:
Sm 0.2484 0.7516 0.2484
Sm 0.2500 0.2500 0.2500
Sm 0.7500 0.7500 0.7500
Sm 0.7516 0.2484 0.7516
Co 0.1722 0.6635 0.8278
Co 0.3365 0.3365 0.6635
Co 0.3365 0.8278 0.6635
Co 0.6635 0.1722 0.3365
Co 0.6635 0.6635 0.3365
Co 0.8278 0.3365 0.1722
Ni 0.1670 0.1670 0.8330
Ni 0.8330 0.8330 0.1670